Record 1
This record from Alexandria describes Ho2TmAg3S6 after structural relaxation. The functional is PBE.

As for the formation energy (no corrections): -1312.2 meV per atom. As for the calculated total energy: -5.224 eV per atom.

The structure belongs to space group C2/m (No. 12); the cell edges are 15.293, 4.044 and 11.919 Å and the angles 90.00°, 119.47° and 90.00°. Symmetry generates all atoms from Ho at (0.166, 0.000, 0.332), Tm at (0.000, 0.500, 0.000), Ag at (0.000, 0.500, 0.500), Ag at (0.168, 0.000, 0.837), S at (0.027, 0.000, 0.868), S at (0.140, 0.500, 0.468) and S at (0.192, 0.500, 0.197).



Record 2
This record from Alexandria describes HoTmAg2S4 after structural relaxation. The functional is PBE.

As for the formation energy (no corrections): -1312.3 meV per atom. As for the calculated total energy: -5.220 eV per atom.

The structure belongs to space group P2/m (No. 10); the cell edges are 7.019, 4.028 and 7.752 Å and the angles 90.00°, 104.15° and 90.00°. Symmetry generates all atoms from Ho at (0.000, 0.000, 0.000), Tm at (0.500, 0.500, 0.000), Ag at (0.000, 0.500, 0.500), Ag at (0.500, 0.000, 0.500), S at (0.120, 0.500, 0.813) and S at (0.385, 0.000, 0.187).



Record 3
This record from Alexandria describes HoUAgS4 after structural relaxation. The functional is PBE.

As for the formation energy (no corrections): -1345.9 meV per atom. As for the calculated total energy: -6.378 eV per atom.

The structure belongs to space group Imma (No. 74); the cell edges are 7.889, 8.047 and 11.219 Å and the angles 90.00°, 90.00° and 90.00°. Symmetry generates all atoms from Ho at (0.250, 0.250, 0.250), U at (0.000, 0.000, 0.000), Ag at (0.000, 0.250, 0.631), S at (0.000, 0.016, 0.239) and S at (0.232, 0.250, 0.006).



Record 4
This record from Alexandria describes YHo2Ag3S6 after structural relaxation. The functional is PBE.

As for the formation energy (no corrections): -1312.2 meV per atom. As for the calculated total energy: -5.390 eV per atom.

The structure belongs to space group C2/m (No. 12); the cell edges are 15.320, 4.068 and 11.926 Å and the angles 90.00°, 118.97° and 90.00°. Symmetry generates all atoms from Y at (0.000, 0.000, 0.000), Ho at (0.167, 0.500, 0.334), Ag at (0.000, 0.000, 0.500), Ag at (0.166, 0.500, 0.832), S at (0.025, 0.500, 0.863), S at (0.141, 0.000, 0.469) and S at (0.193, 0.000, 0.199).



Record 5
This record from Alexandria describes YHoAg2S4 after structural relaxation. The functional is PBE.

As for the formation energy (no corrections): -1282.5 meV per atom. As for the calculated total energy: -5.439 eV per atom.

The structure belongs to space group P2/m (No. 10); the cell edges are 6.668, 4.008 and 6.970 Å and the angles 90.00°, 112.07° and 90.00°. Symmetry generates all atoms from Y at (0.000, 0.000, 0.000), Ho at (0.000, 0.500, 0.500), Ag at (0.500, 0.000, 0.500), Ag at (0.500, 0.500, 0.000), S at (0.239, 0.000, 0.752) and S at (0.239, 0.500, 0.255).



Record 6
This record from Alexandria describes Y2HoAg3S6 after structural relaxation. The functional is PBE.

As for the formation energy (no corrections): -1312.8 meV per atom. As for the calculated total energy: -5.548 eV per atom.

The structure belongs to space group C2/m (No. 12); the cell edges are 15.326, 4.078 and 11.941 Å and the angles 90.00°, 118.86° and 90.00°. Symmetry generates all atoms from Y at (0.166, 0.000, 0.333), Ho at (0.000, 0.500, 0.000), Ag at (0.000, 0.500, 0.500), Ag at (0.167, 0.000, 0.835), S at (0.026, 0.000, 0.866), S at (0.141, 0.500, 0.469) and S at (0.192, 0.500, 0.196).



Record 7
This record from Alexandria describes Ho3ZrAg3S8 after structural relaxation. The functional is PBE.

As for the formation energy (no corrections): -1320.1 meV per atom. As for the calculated total energy: -5.577 eV per atom.

The structure belongs to space group C2/m (No. 12); the cell edges are 13.355, 7.883 and 7.788 Å and the angles 90.00°, 124.33° and 90.00°. Symmetry generates all atoms from Ho at (0.000, 0.000, 0.000), Ho at (0.250, 0.250, 0.500), Zr at (0.000, 0.500, 0.000), Ag at (0.000, 0.500, 0.500), Ag at (0.250, 0.250, 0.000), S at (0.003, 0.261, 0.235), S at (0.236, 0.500, 0.244) and S at (0.247, 0.000, 0.255).



Record 8
This record from Alexandria describes Ho8AgSb2 after structural relaxation. The functional is PBE.

As for the formation energy (no corrections): -366.2 meV per atom. As for the calculated total energy: -4.704 eV per atom.

The structure belongs to space group C2/m (No. 12); the cell edges are 18.975, 4.943 and 6.848 Å and the angles 90.00°, 102.59° and 90.00°. Symmetry generates all atoms from Ho at (0.017, 0.000, 0.269), Ho at (0.093, 0.500, 0.985), Ho at (0.155, 0.500, 0.515), Ho at (0.215, 0.000, 0.835), Ag at (0.000, 0.500, 0.500) and Sb at (0.181, 0.000, 0.266).



Record 9
This record from Alexandria describes Ho8Ag2Sb after structural relaxation. The functional is PBE.

As for the formation energy (no corrections): -153.5 meV per atom. As for the calculated total energy: -4.376 eV per atom.

The structure belongs to space group C2/m (No. 12); the cell edges are 8.623, 13.831 and 5.525 Å and the angles 90.00°, 108.02° and 90.00°. Symmetry generates all atoms from Ho at (0.000, 0.234, 0.000), Ho at (0.104, 0.500, 0.802), Ho at (0.205, 0.117, 0.608), Ag at (0.000, 0.305, 0.500) and Sb at (0.000, 0.000, 0.000).



Record 10
This record from Alexandria describes HoAgSb2 after structural relaxation. The functional is PBE.

As for the formation energy (no corrections): -456.3 meV per atom. As for the calculated total energy: -4.375 eV per atom.

The structure belongs to space group P4/mmm (No. 123); the cell edges are 4.797, 4.797 and 4.214 Å and the angles 90.00°, 90.00° and 90.00°. Symmetry generates all atoms from Ho at (0.000, 0.000, 0.000), Ag at (0.500, 0.500, 0.000) and Sb at (0.000, 0.500, 0.500).



Record 11
This record from Alexandria describes HoAgSb after structural relaxation. The functional is PBE.

As for the formation energy (no corrections): -589.5 meV per atom. As for the calculated total energy: -4.440 eV per atom.

The structure belongs to space group C2/m (No. 12); the cell edges are 10.593, 4.580 and 6.655 Å and the angles 90.00°, 100.88° and 90.00°. Symmetry generates all atoms from Ho at (0.117, 0.000, 0.243), Ag at (0.108, 0.500, 0.917) and Sb at (0.173, 0.000, 0.714).



Record 12
This record from Alexandria describes Ho5Ag2Sb after structural relaxation. The functional is PBE.

As for the formation energy (no corrections): -439.2 meV per atom. As for the calculated total energy: -4.528 eV per atom.

The structure belongs to space group I4/mcm (No. 140); the cell edges are 8.054, 8.054 and 13.081 Å and the angles 90.00°, 90.00° and 90.00°. Symmetry generates all atoms from Ho at (0.000, 0.000, 0.000), Ho at (0.155, 0.345, 0.148), Ag at (0.134, 0.366, 0.500) and Sb at (0.000, 0.000, 0.250).